# 1
# Pm6Nd3Er2Tm, relaxed, DFT PBE-GGA
data_Pm6Nd3Er2Tm
_chemical_formula_sum 'Pm12 Nd6 Er4 Tm2'
_space_group_name_H-M_alt 'C 1 2/m 1'
_space_group_IT_number 12
_cell_length_a 6.282
_cell_length_b 10.882
_cell_length_c 11.962
_cell_angle_alpha 90.00
_cell_angle_beta 100.08
_cell_angle_gamma 90.00
loop_
_space_group_symop_operation_xyz
'x,y,z'
'-x,-y,-z'
'-x,y,-z'
'x,-y,z'
'x+1/2,y+1/2,z'
'-x+1/2,-y+1/2,-z'
'-x+1/2,y+1/2,-z'
'x+1/2,-y+1/2,z'
loop_
_atom_site_label
_atom_site_type_symbol
_atom_site_fract_x
_atom_site_fract_y
_atom_site_fract_z
_atom_site_occupancy
Pm1 Pm 0.249 0.000 0.245 1
Pm2 Pm 0.249 0.333 0.245 1
Nd1 Nd 0.000 0.000 0.500 1
Nd2 Nd 0.000 0.333 0.500 1
Er1 Er 0.000 0.167 0.000 1
Tm1 Tm 0.000 0.500 0.000 1
# **N(E_F)**: 31.87 states/eV/cell
# **Theoretical density**: 7.45 g/cm³
# **DFT formation energy**: 0.018 eV/atom
# **Crystal system**: monoclinic
# **VASP energy**: -4.68 eV/atom

***

# 2
# Pm6Nd2ErTm, relaxed, DFT PBE-GGA
data_Pm6Nd2ErTm
_chemical_formula_sum 'Pm24 Nd8 Er4 Tm4'
_space_group_name_H-M_alt 'C 1 2/c 1'
_space_group_IT_number 15
_cell_length_a 9.184
_cell_length_b 15.330
_cell_length_c 9.779
_cell_angle_alpha 90.00
_cell_angle_beta 98.40
_cell_angle_gamma 90.00
loop_
_space_group_symop_operation_xyz
'x,y,z'
'-x,-y,-z'
'-x,y,-z+1/2'
'x,-y,z+1/2'
'x+1/2,y+1/2,z'
'-x+1/2,-y+1/2,-z'
'-x+1/2,y+1/2,-z+1/2'
'x+1/2,-y+1/2,z+1/2'
loop_
_atom_site_label
_atom_site_type_symbol
_atom_site_fract_x
_atom_site_fract_y
_atom_site_fract_z
_atom_site_occupancy
Pm1 Pm 0.061 0.185 0.445 1
Pm2 Pm 0.104 0.395 0.619 1
Pm3 Pm 0.205 0.221 0.810 1
Nd1 Nd 0.247 0.051 0.042 1
Er1 Er 0.000 0.020 0.750 1
Tm1 Tm 0.000 0.408 0.250 1
# **N(E_F)**: 56.27 states/eV/cell
# **Theoretical density**: 7.29 g/cm³
# **DFT formation energy**: 0.115 eV/atom
# **Crystal system**: monoclinic
# **VASP energy**: -4.59 eV/atom

***

# 3
# PmNdEr3Tm, relaxed, DFT PBE-GGA
data_PmNdEr3Tm
_chemical_formula_sum 'Pm4 Nd4 Er12 Tm4'
_space_group_name_H-M_alt 'C m c m'
_space_group_IT_number 63
_space_group_name_Hall '-C 2c 2'
_cell_length_a 5.837
_cell_length_b 11.269
_cell_length_c 11.687
_cell_angle_alpha 90.00
_cell_angle_beta 90.00
_cell_angle_gamma 90.00
loop_
_atom_site_label
_atom_site_type_symbol
_atom_site_fract_x
_atom_site_fract_y
_atom_site_fract_z
_atom_site_occupancy
Pm1 Pm 0.000 0.002 0.250 1
Nd1 Nd 0.000 0.500 0.000 1
Er1 Er 0.000 0.173 0.502 1
Er2 Er 0.000 0.326 0.250 1
Tm1 Tm 0.000 0.329 0.750 1
# **N(E_F)**: 49.97 states/eV/cell
# **Theoretical density**: 8.29 g/cm³
# **DFT formation energy**: 0.114 eV/atom
# **Crystal system**: orthorhombic
# **VASP energy**: -4.50 eV/atom

***

# 4
# Pm4NdEr2Tm2, relaxed, DFT PBE-GGA
data_Pm4NdEr2Tm2
_chemical_formula_sum 'Pm8 Nd2 Er4 Tm4'
_space_group_name_H-M_alt 'C 1 2/m 1'
_space_group_IT_number 12
_cell_length_a 15.218
_cell_length_b 5.052
_cell_length_c 8.020
_cell_angle_alpha 90.00
_cell_angle_beta 108.22
_cell_angle_gamma 90.00
loop_
_space_group_symop_operation_xyz
'x,y,z'
'-x,-y,-z'
'-x,y,-z'
'x,-y,z'
'x+1/2,y+1/2,z'
'-x+1/2,-y+1/2,-z'
'-x+1/2,y+1/2,-z'
'x+1/2,-y+1/2,z'
loop_
_atom_site_label
_atom_site_type_symbol
_atom_site_fract_x
_atom_site_fract_y
_atom_site_fract_z
_atom_site_occupancy
Pm1 Pm 0.054 0.000 0.332 1
Pm2 Pm 0.223 0.500 0.332 1
Nd1 Nd 0.000 0.500 0.000 1
Er1 Er 0.112 0.500 0.668 1
Tm1 Tm 0.169 0.000 0.000 1
# **N(E_F)**: 25.22 states/eV/cell
# **Theoretical density**: 7.92 g/cm³
# **DFT formation energy**: 0.020 eV/atom
# **Crystal system**: monoclinic
# **VASP energy**: -4.63 eV/atom

***

# 5
# PmNd2ErTm, relaxed, DFT PBE-GGA
data_PmNd2ErTm
_chemical_formula_sum 'Pm2 Nd4 Er2 Tm2'
_space_group_name_H-M_alt 'P 1 2/c 1'
_space_group_IT_number 13
_cell_length_a 8.189
_cell_length_b 6.770
_cell_length_c 6.164
_cell_angle_alpha 90.00
_cell_angle_beta 90.12
_cell_angle_gamma 90.00
loop_
_space_group_symop_operation_xyz
'x,y,z'
'-x,-y,-z'
'-x,y,-z+1/2'
'x,-y,z+1/2'
loop_
_atom_site_label
_atom_site_type_symbol
_atom_site_fract_x
_atom_site_fract_y
_atom_site_fract_z
_atom_site_occupancy
Pm1 Pm 0.000 0.000 0.000 1
Nd1 Nd 0.304 0.309 0.249 1
Er1 Er 0.500 0.156 0.750 1
Tm1 Tm 0.000 0.418 0.750 1
# **N(E_F)**: 11.62 states/eV/cell
# **Theoretical density**: 7.48 g/cm³
# **DFT formation energy**: 0.274 eV/atom
# **Crystal system**: monoclinic
# **VASP energy**: -4.39 eV/atom

***

# 6
# Pm6Nd2Er3Tm, relaxed, DFT PBE-GGA
data_Pm6Nd2Er3Tm
_chemical_formula_sum 'Pm12 Nd4 Er6 Tm2'
_space_group_name_H-M_alt 'C 1 2/m 1'
_space_group_IT_number 12
_cell_length_a 6.253
_cell_length_b 10.831
_cell_length_c 11.901
_cell_angle_alpha 90.00
_cell_angle_beta 100.08
_cell_angle_gamma 90.00
loop_
_space_group_symop_operation_xyz
'x,y,z'
'-x,-y,-z'
'-x,y,-z'
'x,-y,z'
'x+1/2,y+1/2,z'
'-x+1/2,-y+1/2,-z'
'-x+1/2,y+1/2,-z'
'x+1/2,-y+1/2,z'
loop_
_atom_site_label
_atom_site_type_symbol
_atom_site_fract_x
_atom_site_fract_y
_atom_site_fract_z
_atom_site_occupancy
Pm1 Pm 0.248 0.000 0.246 1
Pm2 Pm 0.250 0.166 0.753 1
Nd1 Nd 0.000 0.333 0.500 1
Er1 Er 0.000 0.166 0.000 1
Er2 Er 0.000 0.500 0.000 1
Tm1 Tm 0.000 0.000 0.500 1
# **N(E_F)**: 29.64 states/eV/cell
# **Theoretical density**: 7.65 g/cm³
# **DFT formation energy**: 0.016 eV/atom
# **Crystal system**: monoclinic
# **VASP energy**: -4.67 eV/atom

***

# 7
# PmNd4ErTm2, relaxed, DFT PBE-GGA
data_PmNd4ErTm2
_chemical_formula_sum 'Pm1 Nd4 Er1 Tm2'
_space_group_name_H-M_alt 'P 1 2/m 1'
_space_group_IT_number 10
_cell_length_a 6.250
_cell_length_b 3.621
_cell_length_c 11.866
_cell_angle_alpha 90.00
_cell_angle_beta 100.16
_cell_angle_gamma 90.00
loop_
_space_group_symop_operation_xyz
'x,y,z'
'-x,-y,-z'
'-x,y,-z'
'x,-y,z'
loop_
_atom_site_label
_atom_site_type_symbol
_atom_site_fract_x
_atom_site_fract_y
_atom_site_fract_z
_atom_site_occupancy
Pm1 Pm 0.000 0.000 0.000 1
Nd1 Nd 0.251 0.000 0.749 1
Nd2 Nd 0.251 0.500 0.253 1
Er1 Er 0.000 0.500 0.500 1
Tm1 Tm 0.500 0.000 0.500 1
Tm2 Tm 0.500 0.500 0.000 1
# **N(E_F)**: 10.31 states/eV/cell
# **Theoretical density**: 7.71 g/cm³
# **DFT formation energy**: 0.017 eV/atom
# **Crystal system**: monoclinic
# **VASP energy**: -4.65 eV/atom

***

# 8
# PmNd2Er4Tm, relaxed, DFT PBE-GGA
data_PmNd2Er4Tm
_chemical_formula_sum 'Pm4 Nd8 Er16 Tm4'
_space_group_name_H-M_alt 'I m m a'
_space_group_IT_number 74
_space_group_name_Hall '-I 2b 2'
_cell_length_a 6.779
_cell_length_b 11.818
_cell_length_c 13.237
_cell_angle_alpha 90.00
_cell_angle_beta 90.00
_cell_angle_gamma 90.00
loop_
_atom_site_label
_atom_site_type_symbol
_atom_site_fract_x
_atom_site_fract_y
_atom_site_fract_z
_atom_site_occupancy
Pm1 Pm 0.000 0.000 0.000 1
Nd1 Nd 0.000 0.000 0.500 1
Nd2 Nd 0.250 0.250 0.250 1
Er1 Er 0.000 0.005 0.750 1
Er2 Er 0.250 0.250 0.506 1
Tm1 Tm 0.250 0.250 0.750 1
# **N(E_F)**: 78.57 states/eV/cell
# **Theoretical density**: 7.96 g/cm³
# **DFT formation energy**: 0.421 eV/atom
# **Crystal system**: orthorhombic
# **VASP energy**: -4.20 eV/atom

***

# 9
# PmNd5Er2Tm, relaxed, DFT PBE-GGA
data_PmNd5Er2Tm
_chemical_formula_sum 'Pm4 Nd20 Er8 Tm4'
_space_group_name_H-M_alt 'C m c 21'
_space_group_IT_number 36
_cell_length_a 5.640
_cell_length_b 20.424
_cell_length_c 10.760
_cell_angle_alpha 90.00
_cell_angle_beta 90.00
_cell_angle_gamma 90.00
loop_
_space_group_symop_operation_xyz
'x,y,z'
'-x,-y,z+1/2'
'-x,y,z'
'x,-y,z+1/2'
'x+1/2,y+1/2,z'
'-x+1/2,-y+1/2,z+1/2'
'-x+1/2,y+1/2,z'
'x+1/2,-y+1/2,z+1/2'
loop_
_atom_site_label
_atom_site_type_symbol
_atom_site_fract_x
_atom_site_fract_y
_atom_site_fract_z
_atom_site_occupancy
Pm1 Pm 0.000 0.201 0.000 1
Nd1 Nd 0.000 0.016 0.010 1
Nd2 Nd 0.000 0.281 0.300 1
Nd3 Nd 0.000 0.297 0.695 1
Nd4 Nd 0.000 0.389 0.014 1
Nd5 Nd 0.000 0.482 0.734 1
Er1 Er 0.000 0.111 0.730 1
Er2 Er 0.000 0.115 0.302 1
Tm1 Tm 0.000 0.409 0.452 1
# **N(E_F)**: 57.28 states/eV/cell
# **Theoretical density**: 7.34 g/cm³
# **DFT formation energy**: 0.144 eV/atom
# **Crystal system**: orthorhombic
# **VASP energy**: -4.54 eV/atom

***

Question: Which of these has the highest VASP energy?
Answer: PmNd2Er4Tm

***

Question: Among the records above, which one has the lowest N(E_F)?
Answer: PmNd4ErTm2

***

Question: Look up the theoretical density of the sixth one.
Answer: 7.65 g/cm³